No. 1
Entry from Alexandria: a relaxed structure of CsRbAgHg (PBE-GGA).

Output
E_form in eV per atom: -0.106
Uncorrected energy in eV/atom: -1.35
ΔE to the lowest computed polymorph in eV/atom: 0.000

```
data_CsRbAgHg
_chemical_formula_sum 'Cs3 Rb3 Ag3 Hg3'
_cell_length_a 5.1440
_cell_length_b 5.1440
_cell_length_c 26.9858
_cell_angle_alpha 90.00
_cell_angle_beta 90.00
_cell_angle_gamma 120.00
_space_group_name_H-M_alt 'R 3 m'
_space_group_IT_number 160
_space_group_name_Hall 'R 3 -2"'
loop_
_atom_site_label
_atom_site_fract_x
_atom_site_fract_y
_atom_site_fract_z
Cs1 0.0000 0.0000 0.0000
Rb1 0.0000 0.0000 0.1727
Ag1 0.0000 0.0000 0.4235
Hg1 0.0000 0.0000 0.7571
```



No. 2
Entry from Alexandria: a relaxed structure of SrCeAs2 (PBE-GGA).

Output
E_form in eV per atom: -1.300
Uncorrected energy in eV/atom: -5.53
ΔE to the lowest computed polymorph in eV/atom: 0.000

```
data_SrCeAs2
_chemical_formula_sum 'Sr3 Ce3 As6'
_cell_length_a 4.3361
_cell_length_b 4.3361
_cell_length_c 21.3265
_cell_angle_alpha 90.00
_cell_angle_beta 90.00
_cell_angle_gamma 120.00
_space_group_name_H-M_alt 'R -3 m'
_space_group_IT_number 166
_space_group_name_Hall '-R 3 2"'
loop_
_atom_site_label
_atom_site_fract_x
_atom_site_fract_y
_atom_site_fract_z
Sr1 0.0000 0.0000 0.0000
Ce1 0.0000 0.0000 0.5000
As1 0.0000 0.0000 0.2398
```



No. 3
Entry from Alexandria: a relaxed structure of CsBi3Pt (PBE-GGA).

Output
E_form in eV per atom: -0.264
Uncorrected energy in eV/atom: -3.97
ΔE to the lowest computed polymorph in eV/atom: 0.019

```
data_CsBi3Pt
_chemical_formula_sum 'Cs4 Bi12 Pt4'
_cell_length_a 7.510
_cell_length_b 14.278
_cell_length_c 6.926
_cell_angle_alpha 90.00
_cell_angle_beta 90.01
_cell_angle_gamma 90.00
_space_group_name_H-M_alt 'P 1 21/c 1'
_space_group_IT_number 14
loop_
_space_group_symop_operation_xyz
'x,y,z'
'-x,-y,-z'
'-x,y+1/2,-z+1/2'
'x,-y+1/2,z+1/2'
loop_
_atom_site_label
_atom_site_fract_x
_atom_site_fract_y
_atom_site_fract_z
Cs1 0.250 0.066 0.161
Bi1 0.003 0.685 0.811
Bi2 0.249 0.607 0.154
Bi3 0.494 0.686 0.811
Pt1 0.248 0.697 0.513
```